MnNb2Ag2Se6 PBE optimized geometry; space group = C2/m, No. 12; energy = -61.0 eV/f.u.; energy relative to the elements, uncorrected = -0.464 eV per atom
1.0
-6.044 -0.555 1.428
3.915 -4.851 0.092
1.211 0.367 7.850
Mn Se Nb Ag
1 6 2 2
Cartesian
0.606 0.183 3.925
-0.419 -1.808 2.692
-3.757 -0.561 3.532
-3.786 -1.620 6.728
2.841 -4.479 5.839
-0.498 -3.231 6.679
2.869 -3.419 2.643
-1.758 -1.959 4.860
0.842 -3.081 4.511
-4.632 -1.164 1.239
2.504 -4.242 0.282